This record from the Alexandria database describes a relaxed Rb2PbAuBr6 crystal. The functional is GGA-PBE.

Values from the calculation:
ΔE_f (raw) (eV/atom): -0.9795
Total DFT energy (no corrections) (eV/atom): -2.875
Distance to the lowest polymorph of the same formula (meV per atom): 8
Total moment (μB per atom): 0.00

Geometry as CIF:
```
data_Rb2PbAuBr6
_chemical_formula_sum 'Rb2 Pb1 Au1 Br6'
_symmetry_space_group_name_H-M 'P 1'
_symmetry_Int_Tables_number 1
_cell_length_a 7.961
_cell_length_b 7.961
_cell_length_c 8.046
_cell_angle_alpha 60.35
_cell_angle_beta 60.35
_cell_angle_gamma 90.00
loop_
_symmetry_equiv_pos_as_xyz
'x,y,z'
loop_
_atom_site_label
_atom_site_type_symbol
_atom_site_fract_x
_atom_site_fract_y
_atom_site_fract_z
Pb1 Pb 0.000 0.000 0.000
Au1 Au 0.500 0.500 0.000
Br1 Br 0.253 0.253 0.493
Br2 Br 0.747 0.747 0.507
Br3 Br 0.259 0.259 0.000
Br4 Br 0.741 0.741 0.000
Br5 Br 0.741 0.259 0.000
Br6 Br 0.259 0.741 0.000
Rb1 Rb 0.750 0.250 0.500
Rb2 Rb 0.250 0.750 0.500
```

This record from the Alexandria database describes a relaxed PbAuSe2Br crystal. The functional is GGA-PBE.

Values from the calculation:
ΔE_f (raw) (eV/atom): 0.0498
Total DFT energy (no corrections) (eV/atom): -3.076
Distance to the lowest polymorph of the same formula (meV per atom): 0
Total moment (μB per atom): 0.00

Geometry as CIF:
```
data_PbAuSe2Br
_chemical_formula_sum 'Pb1 Au1 Se2 Br1'
_symmetry_space_group_name_H-M 'P 1'
_symmetry_Int_Tables_number 1
_cell_length_a 5.176
_cell_length_b 5.176
_cell_length_c 5.197
_cell_angle_alpha 90.00
_cell_angle_beta 90.00
_cell_angle_gamma 90.00
loop_
_symmetry_equiv_pos_as_xyz
'x,y,z'
loop_
_atom_site_label
_atom_site_type_symbol
_atom_site_fract_x
_atom_site_fract_y
_atom_site_fract_z
Pb1 Pb 0.500 0.500 0.500
Au1 Au 0.000 0.000 0.000
Se1 Se 0.000 0.500 0.000
Se2 Se 0.500 0.000 0.000
Br1 Br 0.000 0.000 0.500
```

This record from the Alexandria database describes a relaxed Si2PbAuBr crystal. The functional is GGA-PBE.

Values from the calculation:
ΔE_f (raw) (eV/atom): 1.0495
Total DFT energy (no corrections) (eV/atom): -2.851
Total moment (μB per atom): 0.00

Geometry as CIF:
```
data_Si2PbAuBr
_chemical_formula_sum 'Si2 Pb1 Au1 Br1'
_symmetry_space_group_name_H-M 'P 1'
_symmetry_Int_Tables_number 1
_cell_length_a 5.484
_cell_length_b 5.284
_cell_length_c 5.484
_cell_angle_alpha 90.00
_cell_angle_beta 90.00
_cell_angle_gamma 90.00
loop_
_symmetry_equiv_pos_as_xyz
'x,y,z'
loop_
_atom_site_label
_atom_site_type_symbol
_atom_site_fract_x
_atom_site_fract_y
_atom_site_fract_z
Pb1 Pb 0.000 0.000 0.000
Si1 Si 0.000 0.000 0.500
Si2 Si 0.500 0.000 0.000
Au1 Au 0.000 0.500 0.000
Br1 Br 0.500 0.500 0.500
```

This record from the Alexandria database describes a relaxed Tl2PbAuBr6 crystal. The functional is GGA-PBE.

Values from the calculation:
ΔE_f (raw) (eV/atom): -0.6146
Total DFT energy (no corrections) (eV/atom): -2.790
Total moment (μB per atom): 0.00

Geometry as CIF:
```
data_Tl2PbAuBr6
_chemical_formula_sum 'Tl2 Pb1 Au1 Br6'
_symmetry_space_group_name_H-M 'P 1'
_symmetry_Int_Tables_number 1
_cell_length_a 8.378
_cell_length_b 8.422
_cell_length_c 7.954
_cell_angle_alpha 62.96
_cell_angle_beta 61.39
_cell_angle_gamma 50.80
loop_
_symmetry_equiv_pos_as_xyz
'x,y,z'
loop_
_atom_site_label
_atom_site_type_symbol
_atom_site_fract_x
_atom_site_fract_y
_atom_site_fract_z
Tl1 Tl 0.550 0.521 0.412
Tl2 Tl 0.039 0.055 0.906
Pb1 Pb 0.815 0.817 0.535
Au1 Au 0.323 0.325 0.028
Br1 Br 0.530 0.190 0.277
Br2 Br 0.125 0.963 0.301
Br3 Br 0.978 0.600 0.216
Br4 Br 0.514 0.665 0.754
Br5 Br 0.664 0.071 0.815
Br6 Br 0.124 0.454 0.771
```

This record from the Alexandria database describes a relaxed PdAu2Br8 crystal. The functional is GGA-PBE.

Values from the calculation:
ΔE_f (raw) (eV/atom): -0.0314
Total DFT energy (no corrections) (eV/atom): -2.316
Distance to the lowest polymorph of the same formula (meV per atom): 74
Total moment (μB per atom): 0.00

Geometry as CIF:
```
data_PdAu2Br8
_chemical_formula_sum 'Pd1 Au2 Br8'
_symmetry_space_group_name_H-M 'P 1'
_symmetry_Int_Tables_number 1
_cell_length_a 7.142
_cell_length_b 7.379
_cell_length_c 7.379
_cell_angle_alpha 73.85
_cell_angle_beta 78.03
_cell_angle_gamma 78.03
loop_
_symmetry_equiv_pos_as_xyz
'x,y,z'
loop_
_atom_site_label
_atom_site_type_symbol
_atom_site_fract_x
_atom_site_fract_y
_atom_site_fract_z
Pd1 Pd 0.000 0.000 0.000
Au1 Au 0.757 0.760 0.760
Au2 Au 0.243 0.240 0.240
Br1 Br 0.187 0.276 0.897
Br2 Br 0.813 0.103 0.724
Br3 Br 0.268 0.811 0.811
Br4 Br 0.732 0.189 0.189
Br5 Br 0.187 0.897 0.276
Br6 Br 0.813 0.724 0.103
Br7 Br 0.713 0.565 0.565
Br8 Br 0.287 0.435 0.435
```

This record from the Alexandria database describes a relaxed Pd2AuBr2 crystal. The functional is GGA-PBE.

Values from the calculation:
ΔE_f (raw) (eV/atom): 0.2174
Total DFT energy (no corrections) (eV/atom): -3.184
Distance to the lowest polymorph of the same formula (meV per atom): 0
Total moment (μB per atom): 0.00

Geometry as CIF:
```
data_Pd2AuBr2
_chemical_formula_sum 'Pd4 Au2 Br4'
_symmetry_space_group_name_H-M 'P 1'
_symmetry_Int_Tables_number 1
_cell_length_a 7.199
_cell_length_b 7.199
_cell_length_c 3.880
_cell_angle_alpha 90.00
_cell_angle_beta 90.00
_cell_angle_gamma 90.00
loop_
_symmetry_equiv_pos_as_xyz
'x,y,z'
loop_
_atom_site_label
_atom_site_type_symbol
_atom_site_fract_x
_atom_site_fract_y
_atom_site_fract_z
Au1 Au 0.000 0.000 0.000
Au2 Au 0.500 0.500 0.000
Br1 Br 0.170 0.670 0.500
Br2 Br 0.670 0.830 0.500
Br3 Br 0.830 0.330 0.500
Br4 Br 0.330 0.170 0.500
Pd1 Pd 0.355 0.855 0.000
Pd2 Pd 0.855 0.645 0.000
Pd3 Pd 0.645 0.145 0.000
Pd4 Pd 0.145 0.355 0.000
```

This record from the Alexandria database describes a relaxed PdAuBr5 crystal. The functional is GGA-PBE.

Values from the calculation:
ΔE_f (raw) (eV/atom): -0.0837
Total DFT energy (no corrections) (eV/atom): -2.489
Total moment (μB per atom): 0.20

Geometry as CIF:
```
data_PdAuBr5
_chemical_formula_sum 'Pd2 Au2 Br10'
_symmetry_space_group_name_H-M 'P 1'
_symmetry_Int_Tables_number 1
_cell_length_a 10.769
_cell_length_b 9.700
_cell_length_c 9.890
_cell_angle_alpha 41.10
_cell_angle_beta 57.01
_cell_angle_gamma 56.28
loop_
_symmetry_equiv_pos_as_xyz
'x,y,z'
loop_
_atom_site_label
_atom_site_type_symbol
_atom_site_fract_x
_atom_site_fract_y
_atom_site_fract_z
Pd1 Pd 0.738 0.250 0.250
Pd2 Pd 0.262 0.750 0.750
Au1 Au 0.000 0.000 0.000
Au2 Au 0.500 0.500 0.500
Br1 Br 0.163 0.618 0.119
Br2 Br 0.155 0.128 0.626
Br3 Br 0.599 0.118 0.619
Br4 Br 0.980 0.250 0.250
Br5 Br 0.409 0.372 0.874
Br6 Br 0.591 0.628 0.126
Br7 Br 0.020 0.750 0.750
Br8 Br 0.401 0.882 0.381
Br9 Br 0.845 0.872 0.374
Br10 Br 0.837 0.382 0.881
```

This record from the Alexandria database describes a relaxed PdAuBr4 crystal. The functional is GGA-PBE.

Values from the calculation:
ΔE_f (raw) (eV/atom): -0.1765
Total DFT energy (no corrections) (eV/atom): -2.703
Distance to the lowest polymorph of the same formula (meV per atom): 0
Total moment (μB per atom): 0.00

Geometry as CIF:
```
data_PdAuBr4
_chemical_formula_sum 'Pd2 Au2 Br8'
_symmetry_space_group_name_H-M 'P 1'
_symmetry_Int_Tables_number 1
_cell_length_a 7.531
_cell_length_b 7.372
_cell_length_c 8.438
_cell_angle_alpha 105.31
_cell_angle_beta 106.09
_cell_angle_gamma 112.77
loop_
_symmetry_equiv_pos_as_xyz
'x,y,z'
loop_
_atom_site_label
_atom_site_type_symbol
_atom_site_fract_x
_atom_site_fract_y
_atom_site_fract_z
Pd1 Pd 0.765 0.015 0.030
Pd2 Pd 0.235 0.985 0.970
Au1 Au 0.360 0.610 0.221
Au2 Au 0.640 0.390 0.779
Br1 Br 0.266 0.091 0.721
Br2 Br 0.192 0.855 0.205
Br3 Br 0.045 0.371 0.279
Br4 Br 0.487 0.649 0.795
Br5 Br 0.734 0.909 0.279
Br6 Br 0.955 0.629 0.721
Br7 Br 0.808 0.145 0.795
Br8 Br 0.513 0.351 0.205
```